# SrMnW2

An optimized crystal structure of SrMnW2 (GGA-PBE, the Alexandria database).

As for the energy of formation: 1102 meV per atom. The density of states at the Fermi level is 3.056 states/eV per cell. The calculated volume comes out at 75 Å³/cell. As for the space group: F-43m (216). The excess energy over the best structure of this formula in the dataset is 0.3106 eV/atom.

abc: 4.7399 4.7399 4.7399
angles: 60.00 60.00 60.00
Last column: nearest neighbours and their distance in Å.
Fractional coordinates of all 4 atoms:
Sr 0.0000 0.0000 0.0000  4 W 2.90, 4 Mn 2.90
Mn 0.2500 0.2500 0.2500  4 W 2.90, 4 Sr 2.90
W 0.5000 0.5000 0.5000  4 W 2.90, 4 Mn 2.90
W 0.7500 0.7500 0.7500  4 W 2.90, 4 Sr 2.90